Entry 1:
Pr6Nd2Y3In after structural relaxation. Source: Alexandria via LeMat-Bulk, functional PBE.

Computed properties:
- total moment (μB per formula unit) = 0.00
- raw total energy (eV per atom) = -5.078

Unit cell a=6.281 b=6.281 c=12.008 alpha=95.02 beta=95.02 gamma=120.12
Fractional coordinates of all 12 atoms:
Pr  0.408  0.083  0.250
Pr  0.592  0.917  0.750
Pr  0.758  0.758  0.250
Pr  0.917  0.592  0.750
Pr  0.242  0.242  0.750
Pr  0.083  0.408  0.250
Y  0.167  0.833  0.500
Y  0.500  0.500  0.500
Y  0.833  0.167  0.500
Nd  0.667  0.333  0.000
Nd  0.333  0.667  0.000
In  0.000  0.000  0.000

=====

Entry 2:
CuTeSe2 after structural relaxation. Source: Alexandria via LeMat-Bulk, functional PBE.

Computed properties:
- total moment (μB per formula unit) = 0.00
- formation energy without anion corrections (meV per atom) = 477

Unit cell a=4.834 b=4.834 c=3.743 alpha=90.00 beta=90.00 gamma=103.08
Fractional coordinates of all 4 atoms:
Se  0.000  0.000  0.000
Se  0.500  0.500  0.000
Te  0.500  0.000  0.500
Cu  0.000  0.500  0.500

=====

Entry 3:
RbCuH3 after structural relaxation. Source: Alexandria via LeMat-Bulk, functional PBE.

Computed properties:
- energy above the lowest structure with this stoichiometry (meV per atom) = 190
- total moment (μB per formula unit) = 0.00

Unit cell a=3.858 b=3.858 c=3.858 alpha=90.00 beta=90.00 gamma=90.00
Fractional coordinates of all 5 atoms:
H  0.000  0.000  0.500
H  0.000  0.500  0.000
H  0.500  0.000  0.000
Cu  0.000  0.000  0.000
Rb  0.500  0.500  0.500

=====

Entry 4:
MnZn2Os after structural relaxation. Source: Alexandria via LeMat-Bulk, functional PBE.

Computed properties:
- energy above the lowest structure with this stoichiometry (meV per atom) = 133
- total moment (μB per formula unit) = 2.88

Unit cell a=4.405 b=2.606 c=4.854 alpha=84.10 beta=90.00 gamma=90.00
Fractional coordinates of all 4 atoms:
Zn  0.000  0.496  0.497
Zn  0.000  0.004  0.003
Mn  0.500  0.250  0.250
Os  0.500  0.750  0.750

=====

Entry 5:
Tb8Ho2Th after structural relaxation. Source: Alexandria via LeMat-Bulk, functional PBE.

Computed properties:
- energy above the lowest structure with this stoichiometry (meV per atom) = 0
- total moment (μB per formula unit) = 0.00

Unit cell a=5.372 b=8.374 c=8.374 alpha=104.98 beta=90.06 gamma=90.06
Fractional coordinates of all 11 atoms:
Tb  0.001  0.297  0.033
Tb  0.500  0.747  0.253
Tb  0.999  0.967  0.703
Tb  0.001  0.033  0.297
Tb  0.999  0.703  0.967
Tb  0.500  0.666  0.666
Tb  0.500  0.334  0.334
Tb  0.500  0.253  0.747
Ho  0.000  0.621  0.379
Ho  0.000  0.379  0.621
Th  0.500  0.000  0.000

=====

Entry 6:
BaGe2Pd3 after structural relaxation. Source: Alexandria via LeMat-Bulk, functional PBE.

Computed properties:
- total moment (μB per formula unit) = 0.00
- raw total energy (eV per atom) = -5.076

Unit cell a=4.208 b=9.012 c=10.442 alpha=105.15 beta=90.00 gamma=103.50
Fractional coordinates of all 18 atoms:
Ge  0.358  0.716  0.542
Ge  0.803  0.606  0.868
Ge  0.511  0.022  0.753
Ge  0.197  0.394  0.132
Ge  0.642  0.284  0.458
Ge  0.489  0.978  0.247
Ba  0.848  0.697  0.286
Ba  0.152  0.303  0.714
Ba  0.000  0.000  0.000
Pd  0.054  0.109  0.357
Pd  0.365  0.731  0.784
Pd  0.690  0.379  0.986
Pd  0.946  0.891  0.643
Pd  0.635  0.269  0.216
Pd  0.310  0.621  0.014
Pd  0.500  0.000  0.500
Pd  0.220  0.440  0.396
Pd  0.780  0.560  0.604

=====

Entry 7:
Ni6GeW after structural relaxation. Source: Alexandria via LeMat-Bulk, functional PBE.

Computed properties:
- total moment (μB per formula unit) = 0.00
- raw total energy (eV per atom) = -6.609

Unit cell a=4.451 b=4.451 c=5.688 alpha=74.53 beta=74.53 gamma=108.66
Fractional coordinates of all 8 atoms:
Ni  0.372  0.872  0.256
Ni  0.751  0.751  0.497
Ni  0.628  0.128  0.744
Ni  0.128  0.628  0.744
Ni  0.872  0.372  0.256
Ni  0.249  0.249  0.503
W  0.000  0.000  0.000
Ge  0.500  0.500  0.000

=====

Entry 8:
Np3Tl3CrS8 after structural relaxation. Source: Alexandria via LeMat-Bulk, functional PBE.

Computed properties:
- total moment (μB per formula unit) = 0.67
- formation energy without anion corrections (meV per atom) = -920

Unit cell a=7.810 b=7.841 c=8.874 alpha=116.25 beta=90.00 gamma=119.88
Fractional coordinates of all 15 atoms:
Np  0.500  0.500  0.500
Np  0.000  0.500  0.500
Np  0.500  0.000  0.500
S  0.247  0.031  0.316
S  0.266  0.532  0.300
S  0.734  0.468  0.700
S  0.216  0.969  0.684
S  0.786  0.572  0.319
S  0.784  0.031  0.316
S  0.753  0.969  0.684
S  0.214  0.428  0.681
Tl  0.500  0.500  0.000
Tl  0.000  0.500  0.000
Tl  0.000  0.000  0.000
Cr  0.000  0.000  0.500